# 1
13
Lattice="10.164 -3.788 0.000 10.164 3.788 0.000 -0.002 0.000 5.579" Properties=species:S:1:pos:R:3 comment="Tb2Y3Ho8 | Alexandria | PBE | optimized geometry" ef_ev_per_fu=3.15 de_polymorph_ev_per_atom=0.015 pbc="T T T"
Tb 4.911 0.000 2.786
Tb 15.415 0.000 2.793
Y -0.001 0.000 2.789
Y 10.164 1.634 0.000
Y 10.164 -1.634 0.000
Ho 2.708 0.000 5.578
Ho 7.949 1.608 2.788
Ho 6.778 0.000 5.576
Ho 12.377 1.608 2.790
Ho 7.949 -1.608 2.788
Ho 13.547 0.000 0.003
Ho 12.377 -1.608 2.790
Ho 17.618 0.000 0.001

***

# 2
29
Lattice="0.000 7.854 7.854 7.854 0.000 7.854 7.854 7.854 0.000" Properties=species:S:1:pos:R:3 comment="Tb16Y6Ho7 | Alexandria | PBE | optimized geometry" ef_ev_per_fu=6.44 pbc="T T T"
Tb 10.253 5.456 5.456
Tb 1.925 1.925 1.925
Tb 5.929 5.929 1.925
Tb 5.929 1.925 5.929
Tb 5.456 5.456 5.456
Tb 10.253 10.253 5.456
Tb 10.253 5.456 10.253
Tb 13.783 9.779 9.779
Tb 1.925 5.929 5.929
Tb 5.456 10.253 5.456
Tb 5.456 5.456 10.253
Tb 10.253 10.253 10.253
Tb 9.779 13.783 9.779
Tb 9.779 9.779 13.783
Tb 13.783 13.783 13.783
Tb 5.456 10.253 10.253
Y 7.854 7.854 4.389
Y 7.854 4.389 7.854
Y 11.319 7.854 7.854
Y 4.389 7.854 7.854
Y 7.854 11.319 7.854
Y 7.854 7.854 11.319
Ho 0.000 0.000 0.000
Ho 3.927 3.927 0.000
Ho 3.927 0.000 3.927
Ho 7.854 3.927 3.927
Ho 0.000 3.927 3.927
Ho 3.927 7.854 3.927
Ho 3.927 3.927 7.854

***

Sequential electronic total energy output: -62.1 -138.5 eV/cell